(1)
Sc2CrTcTe | the Alexandria database | PBE | optimized geometry; Fermi-level density of states = 5.16 states/eV/cell; formation energy (no corrections) = 0.27 eV per atom; crystal system = tetragonal
1.0
4.990 0.000 0.000
0.000 4.306 0.000
0.000 0.000 4.990
Te Sc Cr Tc
1 2 1 1
Direct
0.500 0.500 0.500
0.500 0.000 0.000
0.000 0.000 0.500
0.000 0.000 0.000
0.000 0.500 0.000



(2)
ZrTcRh2 | the Alexandria database | PBE | optimized geometry; Fermi-level density of states = 6.75 states/eV/cell; crystal system = trigonal; energy relative to the lowest polymorph listed for this composition = 360.1 meV per atom
1.0
9.325 -0.011 -0.007
8.897 2.791 -0.007
8.897 1.357 2.438
Rh Zr Tc
2 1 1
Direct
0.994 0.994 0.994
0.506 0.506 0.506
0.750 0.750 0.750
0.250 0.250 0.250



(3)
Mn2GeSe4 | the Alexandria database | PBE | optimized geometry; Fermi-level density of states = 10.60 states/eV/cell; formation energy (no corrections) = -0.34 eV per atom; crystal system = orthorhombic
1.0
-4.008 -5.201 0.563
5.369 -3.741 3.666
-4.433 4.629 11.216
Ge Mn Se
4 8 16
Direct
0.417 0.250 0.912
0.083 0.250 0.412
0.583 0.750 0.088
0.917 0.750 0.588
0.010 0.250 0.737
0.000 0.500 0.000
0.510 0.750 0.763
0.990 0.750 0.263
0.500 0.500 0.500
0.490 0.250 0.237
0.500 0.000 0.500
0.000 0.000 0.000
0.731 0.006 0.668
0.684 0.250 0.410
0.816 0.250 0.910
0.262 0.250 0.582
0.738 0.750 0.418
0.316 0.750 0.590
0.769 0.006 0.168
0.269 0.506 0.332
0.184 0.750 0.090
0.769 0.494 0.168
0.762 0.750 0.918
0.231 0.994 0.832
0.238 0.250 0.082
0.231 0.506 0.832
0.731 0.494 0.668
0.269 0.994 0.332



(4)
Fe3TeI | the Alexandria database | PBE | optimized geometry; Fermi-level density of states = 3.29 states/eV/cell; formation energy (no corrections) = 1.29 eV per atom; crystal system = cubic; energy relative to the lowest polymorph listed for this composition = 0.0 meV per atom
1.0
-3.614 -3.253 -0.100
2.572 -2.764 -3.065
1.993 -2.331 3.774
Fe I Te
3 1 1
Direct
0.000 0.500 0.000
0.500 0.000 0.000
0.000 0.000 0.500
0.000 0.000 0.000
0.500 0.500 0.500



(5)
PaCN3 | the Alexandria database | PBE | optimized geometry; formation energy (no corrections) = -0.82 eV per atom; crystal system = monoclinic
1.0
3.990 0.000 -0.072
0.000 4.954 0.000
-1.713 0.000 5.734
Pa C N
2 2 6
Direct
0.121 0.250 0.279
0.879 0.750 0.721
0.498 0.250 0.760
0.502 0.750 0.240
0.663 0.513 0.323
0.162 0.750 0.109
0.337 0.487 0.677
0.337 0.013 0.677
0.663 0.987 0.323
0.838 0.250 0.891



(6)
CuH2N2F4 | the Alexandria database | PBE | optimized geometry; Fermi-level density of states = 6.87 states/eV/cell; crystal system = orthorhombic
1.0
2.906 -8.162 0.000
2.906 8.162 0.000
0.000 0.000 4.039
H Cu N F
4 2 4 8
Direct
0.725 0.275 0.000
0.775 0.225 0.500
0.275 0.725 0.000
0.225 0.775 0.500
0.500 0.500 0.500
0.000 0.000 0.000
0.660 0.340 0.000
0.840 0.160 0.500
0.160 0.840 0.500
0.340 0.660 0.000
0.660 0.340 0.500
0.681 0.681 0.129
0.340 0.660 0.500
0.840 0.160 0.000
0.181 0.181 0.371
0.319 0.319 0.871
0.160 0.840 0.000
0.819 0.819 0.629



| no. | energy (eV per atom) |
| --- | --- |
| 1 | -6.88 |
| 2 | -8.45 |
| 3 | -5.61 |
| 4 | -4.73 |
| 5 | -9.56 |
| 6 | -3.76 |